[1]
Compound: P2RuPbS
Source: Alexandria
Functional: GGA-PBE
Structure: relaxed

The calculation puts the uncorrected energy at -18.6 eV/cell. The calculation puts the raw formation energy at 898 kJ/mol of formula units. As for the relative energy among the computed polymorphs: 1615 meV/atom. For the total magnetic moment, the calculation gives 2.116 μB/cell.

The space group is P4/mmm (No. 123) and the conventional cell measures 5.117, 5.117 and 5.077 Å, with angles of 90.00, 90.00 and 90.00 degrees. Symmetry generates all atoms from P at (0.000, 0.500, 0.000), Ru at (0.000, 0.000, 0.500), Pb at (0.500, 0.500, 0.000) and S at (0.500, 0.500, 0.500).

=====

[2]
Compound: NaH6N2
Source: Alexandria
Functional: GGA-PBE
Structure: relaxed

The calculation puts the uncorrected energy at -161.5 eV/cell. For the total magnetic moment, the calculation gives 0.000 μB/cell.

The space group is C2/c (No. 15) and the conventional cell measures 7.536, 18.533 and 4.663 Å, with angles of 90.00, 126.98 and 90.00 degrees. Symmetry generates all atoms from Na at (0.000, 0.209, 0.250), H at (0.078, 0.073, 0.047), H at (0.157, 0.403, 0.688), H at (0.240, 0.479, 0.606) and N at (0.238, 0.054, 0.195).

=====

[3]
Compound: Ni2Ir2Ru
Source: Alexandria
Functional: GGA-PBE
Structure: relaxed

The calculation puts the uncorrected energy at -74.2 eV/cell. As for the relative energy among the computed polymorphs: 272 meV/atom. For the total magnetic moment, the calculation gives 0.000 μB/cell.

The space group is P4/mbm (No. 127) and the conventional cell measures 6.948, 6.948 and 2.754 Å, with angles of 90.00, 90.00 and 90.00 degrees. Symmetry generates all atoms from Ni at (0.125, 0.375, 0.000), Ir at (0.173, 0.673, 0.500) and Ru at (0.000, 0.000, 0.000).

=====

[4]
Compound: Na2TlBiH
Source: Alexandria
Functional: GGA-PBE
Structure: relaxed

The calculation puts the uncorrected energy at -13.0 eV/cell. As for the relative energy among the computed polymorphs: 0 meV/atom. For the total magnetic moment, the calculation gives 0.000 μB/cell.

The space group is P4/mmm (No. 123) and the conventional cell measures 4.692, 4.692 and 5.298 Å, with angles of 90.00, 90.00 and 90.00 degrees. Symmetry generates all atoms from Na at (0.000, 0.500, 0.000), Tl at (0.000, 0.000, 0.500), Bi at (0.500, 0.500, 0.500) and H at (0.000, 0.000, 0.000).

=====

[5]
Compound: Mg2ZnRh
Source: Alexandria
Functional: GGA-PBE
Structure: relaxed

The calculation puts the uncorrected energy at -13.0 eV/cell. For the total magnetic moment, the calculation gives 0.000 μB/cell.

The space group is P4mm (No. 99) and the conventional cell measures 3.173, 3.173 and 6.833 Å, with angles of 90.00, 90.00 and 90.00 degrees. Symmetry generates all atoms from Mg at (0.000, 0.000, 0.000), Mg at (0.500, 0.500, 0.331), Zn at (0.500, 0.500, 0.747) and Rh at (0.000, 0.000, 0.556).

=====

[6]
Compound: CaTlHAu
Source: Alexandria
Functional: GGA-PBE
Structure: relaxed

The calculation puts the uncorrected energy at -12.3 eV/cell. As for the relative energy among the computed polymorphs: 0 meV/atom. For the total magnetic moment, the calculation gives 0.000 μB/cell.

The space group is P1 (No. 1) and the conventional cell measures 4.759, 4.867 and 5.250 Å, with angles of 116.77, 90.41 and 118.49 degrees. Symmetry generates all atoms from Ca at (0.000, 0.000, 0.000), Tl at (0.477, 0.963, 0.453), H at (0.608, 0.220, 0.920) and Au at (0.768, 0.537, 0.321).